A relaxed structure of MgCuTcSnOsC, computed with PBE. Values from VASP.

Results
final energy	-6.4824	eV per atom
crystal system	monoclinic
polymorph energy (0 for the lowest one)	0.0445	eV/atom
E_form	0.27	eV per atom

Geometry as Quantum ESPRESSO input:
```
&SYSTEM
  ibrav = 0, nat = 12, ntyp = 6
/
ATOMIC_SPECIES
C 12.01 C.upf
Mg 24.30 Mg.upf
Sn 118.71 Sn.upf
Os 190.23 Os.upf
Tc 98.00 Tc.upf
Cu 63.55 Cu.upf
ATOMIC_POSITIONS crystal
C 0.440 0.000 0.266
C 0.440 0.500 0.766
Mg 0.180 0.000 0.629
Mg 0.180 0.500 0.129
Sn 0.926 0.000 0.814
Sn 0.926 0.500 0.314
Os 0.312 0.000 0.398
Os 0.312 0.500 0.898
Tc 0.558 0.000 0.131
Tc 0.558 0.500 0.631
Cu 0.734 0.000 0.461
Cu 0.734 0.500 0.961
CELL_PARAMETERS angstrom
-3.658 3.223 4.764
-0.305 -2.570 1.504
10.042 -0.285 1.552
```

---

A relaxed structure of Sn3Hg, computed with PBE. Values from VASP.

Results
final energy	-3.0565	eV per atom
crystal system	hexagonal
E_form	0.02	eV per atom

Geometry as Quantum ESPRESSO input:
```
&SYSTEM
  ibrav = 0, nat = 4, ntyp = 2
/
ATOMIC_SPECIES
Sn 118.71 Sn.upf
Hg 200.59 Hg.upf
ATOMIC_POSITIONS crystal
Sn 0.000 0.500 0.000
Sn 0.000 0.000 0.500
Sn 0.000 0.500 0.500
Hg 0.000 0.000 0.000
CELL_PARAMETERS angstrom
-1.309 -1.053 -2.577
4.205 -4.873 -0.145
-5.595 -0.668 3.115
```

---

A relaxed structure of RbLaZnS, computed with PBE. Values from VASP.

Results
final energy	-3.6256	eV per atom
crystal system	trigonal
polymorph energy (0 for the lowest one)	0.0293	eV/atom

Geometry as Quantum ESPRESSO input:
```
&SYSTEM
  ibrav = 0, nat = 4, ntyp = 4
/
ATOMIC_SPECIES
Zn 65.41 Zn.upf
S 32.06 S.upf
Rb 85.47 Rb.upf
La 138.91 La.upf
ATOMIC_POSITIONS crystal
Zn 0.000 0.000 0.277
S 0.333 0.667 0.880
Rb 0.667 0.333 0.602
La 0.667 0.333 0.053
CELL_PARAMETERS angstrom
-1.145 -2.008 -3.569
0.675 -2.219 3.564
-8.462 0.937 2.187
```

---

A relaxed structure of Ac2LaSm, computed with PBE. Values from VASP.

Results
final energy	-4.4367	eV per atom
crystal system	tetragonal
polymorph energy (0 for the lowest one)	0.0061	eV/atom
E_form	0.03	eV per atom

Geometry as Quantum ESPRESSO input:
```
&SYSTEM
  ibrav = 0, nat = 4, ntyp = 3
/
ATOMIC_SPECIES
Ac 227.00 Ac.upf
Sm 150.36 Sm.upf
La 138.91 La.upf
ATOMIC_POSITIONS crystal
Ac 0.000 0.000 0.745
Ac 0.000 0.000 0.255
Sm 0.500 0.500 0.500
La 0.500 0.500 0.000
CELL_PARAMETERS angstrom
-1.409 -3.207 1.634
3.183 -1.929 -1.043
4.653 2.672 9.254
```

---

A relaxed structure of Sr2SbRh, computed with PBE. Values from VASP.

Results
final energy	-4.0427	eV per atom
crystal system	tetragonal

Geometry as Quantum ESPRESSO input:
```
&SYSTEM
  ibrav = 0, nat = 4, ntyp = 3
/
ATOMIC_SPECIES
Rh 102.91 Rh.upf
Sb 121.76 Sb.upf
Sr 87.62 Sr.upf
ATOMIC_POSITIONS crystal
Rh 0.000 0.000 0.575
Sb 0.500 0.500 0.677
Sr 0.000 0.000 0.930
Sr 0.500 0.500 0.318
CELL_PARAMETERS angstrom
3.698 0.000 0.000
0.000 3.698 0.000
0.000 0.000 9.060
```

---

A relaxed structure of La8AgOs3I4, computed with PBE. Values from VASP.

Results
final energy	-5.8515	eV per atom
crystal system	trigonal

Geometry as Quantum ESPRESSO input:
```
&SYSTEM
  ibrav = 0, nat = 16, ntyp = 4
/
ATOMIC_SPECIES
La 138.91 La.upf
Ag 107.87 Ag.upf
Os 190.23 Os.upf
I 126.90 I.upf
ATOMIC_POSITIONS crystal
La 0.241 0.686 0.945
La 0.241 0.687 0.482
La 0.271 0.312 0.541
La 0.704 0.686 0.945
La 0.296 0.314 0.055
La 0.729 0.688 0.459
La 0.759 0.313 0.518
La 0.759 0.314 0.055
Ag 0.000 0.500 0.000
Os 0.500 0.500 0.000
Os 0.500 0.500 0.500
Os 0.000 0.500 0.500
I 0.500 0.000 0.000
I 0.500 0.000 0.500
I 0.000 0.000 0.000
I 0.000 0.000 0.500
CELL_PARAMETERS angstrom
8.599 0.000 0.000
0.000 9.601 0.708
-4.300 -4.297 6.081
```

---

A relaxed structure of V3Cu, computed with PBE. Values from VASP.

Results
final energy	-7.7250	eV per atom
crystal system	cubic
E_form	0.14	eV per atom

Geometry as Quantum ESPRESSO input:
```
&SYSTEM
  ibrav = 0, nat = 4, ntyp = 2
/
ATOMIC_SPECIES
Cu 63.55 Cu.upf
V 50.94 V.upf
ATOMIC_POSITIONS crystal
Cu 0.000 0.000 0.000
V 0.000 0.500 0.500
V 0.500 0.000 0.500
V 0.500 0.500 0.000
CELL_PARAMETERS angstrom
3.746 0.000 0.000
0.000 3.746 0.000
0.000 0.000 3.746
```

---

A relaxed structure of BPtBr2, computed with PBE. Values from VASP.

Results
final energy	-2.9680	eV per atom
crystal system	trigonal
polymorph energy (0 for the lowest one)	0.0000	eV/atom

Geometry as Quantum ESPRESSO input:
```
&SYSTEM
  ibrav = 0, nat = 4, ntyp = 3
/
ATOMIC_SPECIES
B 10.81 B.upf
Br 79.90 Br.upf
Pt 195.08 Pt.upf
ATOMIC_POSITIONS crystal
B 0.500 0.500 0.500
Br 0.897 0.897 0.897
Br 0.103 0.103 0.103
Pt 0.000 0.000 0.000
CELL_PARAMETERS angstrom
-1.486 3.159 7.422
-1.603 -0.151 8.043
1.364 1.443 7.958
```

---

A relaxed structure of MgNpPb2O6, computed with PBE. Values from VASP.

Results
final energy	-7.2945	eV per atom
crystal system	monoclinic

Geometry as Quantum ESPRESSO input:
```
&SYSTEM
  ibrav = 0, nat = 20, ntyp = 4
/
ATOMIC_SPECIES
Mg 24.30 Mg.upf
Np 237.00 Np.upf
Pb 207.20 Pb.upf
O 16.00 O.upf
ATOMIC_POSITIONS crystal
Mg 0.500 0.000 0.000
Mg 0.000 0.500 0.500
Np 0.500 0.000 0.500
Np 0.000 0.500 0.000
Pb 0.005 0.975 0.252
Pb 0.505 0.525 0.752
Pb 0.995 0.025 0.748
Pb 0.495 0.475 0.248
O 0.282 0.712 0.034
O 0.782 0.788 0.534
O 0.718 0.288 0.966
O 0.218 0.212 0.466
O 0.288 0.720 0.462
O 0.788 0.780 0.962
O 0.712 0.280 0.538
O 0.212 0.220 0.038
O 0.931 0.514 0.246
O 0.431 0.986 0.746
O 0.069 0.486 0.754
O 0.569 0.014 0.254
CELL_PARAMETERS angstrom
-1.724 -4.516 -3.308
5.383 -2.326 0.370
-2.259 -4.145 6.818
```

---

A relaxed structure of RbNaCa2Cl6, computed with PBE. Values from VASP.

Results
final energy	-3.9248	eV per atom
crystal system	trigonal

Geometry as Quantum ESPRESSO input:
```
&SYSTEM
  ibrav = 0, nat = 10, ntyp = 4
/
ATOMIC_SPECIES
Rb 85.47 Rb.upf
Na 22.99 Na.upf
Ca 40.08 Ca.upf
Cl 35.45 Cl.upf
ATOMIC_POSITIONS crystal
Rb 0.783 0.783 0.651
Na 0.312 0.312 0.063
Ca 0.518 0.518 0.446
Ca 0.008 0.008 0.976
Cl 0.636 0.253 0.224
Cl 0.252 0.888 0.224
Cl 0.888 0.636 0.224
Cl 0.330 0.740 0.735
Cl 0.740 0.194 0.735
Cl 0.194 0.330 0.735
CELL_PARAMETERS angstrom
7.346 0.001 0.001
3.674 6.362 0.001
3.674 2.121 6.354
```

---

A relaxed structure of ZnIn2Br8, computed with PBE. Values from VASP.

Results
final energy	-2.6045	eV per atom
crystal system	monoclinic

Geometry as Quantum ESPRESSO input:
```
&SYSTEM
  ibrav = 0, nat = 22, ntyp = 3
/
ATOMIC_SPECIES
Zn 65.41 Zn.upf
In 114.82 In.upf
Br 79.90 Br.upf
ATOMIC_POSITIONS crystal
Zn 0.989 0.750 0.250
Zn 0.011 0.250 0.750
In 0.835 0.871 0.965
In 0.329 0.371 0.465
In 0.671 0.629 0.535
In 0.165 0.129 0.035
Br 0.356 0.758 0.560
Br 0.140 0.937 0.232
Br 0.711 0.952 0.203
Br 0.156 0.214 0.492
Br 0.289 0.048 0.797
Br 0.862 0.286 0.008
Br 0.844 0.786 0.508
Br 0.134 0.452 0.703
Br 0.138 0.714 0.992
Br 0.674 0.742 0.940
Br 0.691 0.437 0.732
Br 0.309 0.563 0.268
Br 0.326 0.258 0.060
Br 0.866 0.548 0.297
Br 0.644 0.242 0.440
Br 0.860 0.063 0.768
CELL_PARAMETERS angstrom
8.188 0.000 3.614
3.616 9.562 2.890
0.086 -0.199 10.888
```

---

A relaxed structure of Na6H4O, computed with PBE. Values from VASP.

Results
final energy	-2.7814	eV per atom
crystal system	trigonal

Geometry as Quantum ESPRESSO input:
```
&SYSTEM
  ibrav = 0, nat = 22, ntyp = 3
/
ATOMIC_SPECIES
Na 22.99 Na.upf
H 1.01 H.upf
O 16.00 O.upf
ATOMIC_POSITIONS crystal
Na 0.699 0.027 0.064
Na 0.064 0.301 0.027
Na 0.564 0.473 0.199
Na 0.973 0.064 0.699
Na 0.527 0.199 0.564
Na 0.199 0.436 0.473
Na 0.801 0.564 0.527
Na 0.473 0.801 0.436
Na 0.027 0.936 0.301
Na 0.436 0.527 0.801
Na 0.936 0.699 0.973
Na 0.301 0.973 0.936
H 0.430 0.070 0.250
H 0.930 0.250 0.430
H 0.250 0.570 0.070
H 0.250 0.250 0.750
H 0.750 0.750 0.250
H 0.750 0.430 0.930
H 0.070 0.750 0.570
H 0.570 0.930 0.750
O 0.500 0.500 0.500
O 0.000 0.000 0.000
CELL_PARAMETERS angstrom
7.217 -0.151 0.092
-0.091 7.218 0.092
0.153 0.151 7.216
```

---

A relaxed structure of HgIr2W, computed with PBE. Values from VASP.

Results
final energy	-7.2273	eV per atom
crystal system	orthorhombic
E_form	0.52	eV per atom

Geometry as Quantum ESPRESSO input:
```
&SYSTEM
  ibrav = 0, nat = 4, ntyp = 3
/
ATOMIC_SPECIES
Hg 200.59 Hg.upf
Ir 192.22 Ir.upf
W 183.84 W.upf
ATOMIC_POSITIONS crystal
Hg 0.500 0.500 0.755
Ir 0.000 0.000 0.011
Ir 0.500 0.500 0.252
W 0.000 0.000 0.482
CELL_PARAMETERS angstrom
2.799 0.023 0.000
-1.350 2.452 0.000
0.000 0.000 9.664
```

---

A relaxed structure of Sr2CaBiO5, computed with PBE. Values from VASP.

Results
final energy	-5.9678	eV per atom
crystal system	orthorhombic

Geometry as Quantum ESPRESSO input:
```
&SYSTEM
  ibrav = 0, nat = 18, ntyp = 4
/
ATOMIC_SPECIES
Sr 87.62 Sr.upf
Ca 40.08 Ca.upf
Bi 208.98 Bi.upf
O 16.00 O.upf
ATOMIC_POSITIONS crystal
Sr 0.850 0.700 0.770
Sr 0.109 0.218 0.690
Sr 0.150 0.300 0.270
Sr 0.891 0.782 0.190
Ca 0.772 0.544 0.509
Ca 0.228 0.456 0.009
Bi 0.532 0.064 0.962
Bi 0.468 0.936 0.462
O 0.386 0.772 0.021
O 0.682 0.363 0.877
O 0.486 0.971 0.783
O 0.276 0.551 0.652
O 0.939 0.878 0.560
O 0.614 0.228 0.521
O 0.318 0.637 0.377
O 0.514 0.029 0.283
O 0.724 0.449 0.152
O 0.061 0.122 0.060
CELL_PARAMETERS angstrom
-1.188 1.428 3.173
6.283 -3.438 1.769
5.793 9.502 -2.107
```

---

A relaxed structure of La2NiGeBi, computed with PBE. Values from VASP.

Results
final energy	-5.4502	eV per atom
crystal system	tetragonal
E_form	-0.62	eV per atom

Geometry as Quantum ESPRESSO input:
```
&SYSTEM
  ibrav = 0, nat = 5, ntyp = 4
/
ATOMIC_SPECIES
Ni 58.69 Ni.upf
Ge 72.64 Ge.upf
Bi 208.98 Bi.upf
La 138.91 La.upf
ATOMIC_POSITIONS crystal
Ni 0.000 0.000 0.000
Ge 0.000 0.000 0.500
Bi 0.500 0.500 0.500
La 0.000 0.500 0.000
La 0.500 0.000 0.000
CELL_PARAMETERS angstrom
-3.877 2.239 3.339
-2.695 -4.890 0.150
2.375 -1.199 3.562
```

---

A relaxed structure of Pm4PdRhCl2, computed with PBE. Values from VASP.

Results
final energy	-5.5453	eV per atom
crystal system	monoclinic

Geometry as Quantum ESPRESSO input:
```
&SYSTEM
  ibrav = 0, nat = 8, ntyp = 4
/
ATOMIC_SPECIES
Pm 145.00 Pm.upf
Pd 106.42 Pd.upf
Rh 102.91 Rh.upf
Cl 35.45 Cl.upf
ATOMIC_POSITIONS crystal
Pm 0.000 0.708 0.754
Pm 0.000 0.292 0.246
Pm 0.500 0.707 0.269
Pm 0.500 0.293 0.731
Pd 0.500 0.500 0.000
Rh 0.000 0.500 0.500
Cl 0.000 0.000 0.000
Cl 0.500 0.000 0.500
CELL_PARAMETERS angstrom
4.100 0.000 0.000
0.000 7.847 -0.388
0.000 2.527 6.673
```

---

A relaxed structure of K4RbTl2, computed with PBE. Values from VASP.

Results
final energy	-1.4656	eV per atom
crystal system	triclinic
E_form	-0.02	eV per atom

Geometry as Quantum ESPRESSO input:
```
&SYSTEM
  ibrav = 0, nat = 14, ntyp = 3
/
ATOMIC_SPECIES
K 39.10 K.upf
Tl 204.38 Tl.upf
Rb 85.47 Rb.upf
ATOMIC_POSITIONS crystal
K 0.395 0.199 0.519
K 0.123 0.519 0.292
K 0.606 0.085 0.196
K 0.890 0.600 0.999
K 0.110 0.111 0.290
K 0.876 0.586 0.604
K 0.712 0.092 0.731
K 0.288 0.557 0.620
Tl 0.463 0.278 0.855
Tl 0.537 0.682 0.185
Tl 0.319 0.889 0.169
Tl 0.681 0.513 0.430
Rb 0.499 0.658 0.842
Rb 0.001 0.982 0.017
CELL_PARAMETERS angstrom
-6.115 -3.517 6.671
9.026 -3.685 5.643
3.485 2.315 10.463
```

---

A relaxed structure of Pt2RhCl, computed with PBE. Values from VASP.

Results
final energy	-5.1205	eV per atom
crystal system	orthorhombic
polymorph energy (0 for the lowest one)	0.0000	eV/atom

Geometry as Quantum ESPRESSO input:
```
&SYSTEM
  ibrav = 0, nat = 4, ntyp = 3
/
ATOMIC_SPECIES
Cl 35.45 Cl.upf
Pt 195.08 Pt.upf
Rh 102.91 Rh.upf
ATOMIC_POSITIONS crystal
Cl 0.500 0.750 0.732
Pt 0.000 0.750 0.031
Pt 0.500 0.250 0.259
Rh 0.000 0.750 0.478
CELL_PARAMETERS angstrom
-2.069 -1.193 2.434
-1.182 -1.787 -1.880
4.686 -4.811 1.625
```

---

A relaxed structure of KOsPb2, computed with PBE. Values from VASP.

Results
final energy	-3.8680	eV per atom
crystal system	orthorhombic
polymorph energy (0 for the lowest one)	0.7025	eV/atom
E_form	1.07	eV per atom

Geometry as Quantum ESPRESSO input:
```
&SYSTEM
  ibrav = 0, nat = 4, ntyp = 3
/
ATOMIC_SPECIES
K 39.10 K.upf
Os 190.23 Os.upf
Pb 207.20 Pb.upf
ATOMIC_POSITIONS crystal
K 0.500 0.000 0.500
Os 0.000 0.500 0.500
Pb 0.000 0.000 0.000
Pb 0.500 0.500 0.000
CELL_PARAMETERS angstrom
3.933 0.000 0.000
0.000 5.413 0.000
0.000 0.000 4.709
```

---

A relaxed structure of CeMg2Au3, computed with PBE. Values from VASP.

Results
final energy	-3.7892	eV per atom
crystal system	trigonal
polymorph energy (0 for the lowest one)	0.0000	eV/atom
E_form	-0.63	eV per atom

Geometry as Quantum ESPRESSO input:
```
&SYSTEM
  ibrav = 0, nat = 12, ntyp = 3
/
ATOMIC_SPECIES
Ce 140.12 Ce.upf
Mg 24.30 Mg.upf
Au 196.97 Au.upf
ATOMIC_POSITIONS crystal
Ce 0.333 0.667 0.676
Ce 0.667 0.333 0.324
Mg 0.000 0.000 0.500
Mg 0.333 0.667 0.146
Mg 0.667 0.333 0.854
Mg 0.000 0.000 0.000
Au 0.333 0.667 0.438
Au 0.667 0.333 0.077
Au 0.000 0.000 0.787
Au 0.000 0.000 0.213
Au 0.333 0.667 0.923
Au 0.667 0.333 0.562
CELL_PARAMETERS angstrom
4.743 0.000 0.000
-2.372 4.108 0.000
0.000 0.000 12.999
```

---

A relaxed structure of TlZnF3, computed with PBE. Values from VASP.

Results
final energy	-3.8860	eV per atom
crystal system	orthorhombic

Geometry as Quantum ESPRESSO input:
```
&SYSTEM
  ibrav = 0, nat = 10, ntyp = 3
/
ATOMIC_SPECIES
Tl 204.38 Tl.upf
Zn 65.41 Zn.upf
F 19.00 F.upf
ATOMIC_POSITIONS crystal
Tl 0.329 0.671 0.250
Tl 0.671 0.329 0.750
Zn 0.095 0.905 0.250
Zn 0.905 0.095 0.750
F 0.934 0.575 0.250
F 0.425 0.066 0.250
F 0.575 0.934 0.750
F 0.066 0.425 0.750
F 0.000 0.000 0.000
F 0.000 0.000 0.500
CELL_PARAMETERS angstrom
2.980 -7.274 0.000
2.980 7.274 0.000
0.000 0.000 5.384
```

---

A relaxed structure of Ho6MgCd2, computed with PBE. Values from VASP.

Results
final energy	-3.4435	eV per atom
crystal system	monoclinic
E_form	-0.01	eV per atom

Geometry as Quantum ESPRESSO input:
```
&SYSTEM
  ibrav = 0, nat = 18, ntyp = 3
/
ATOMIC_SPECIES
Ho 164.93 Ho.upf
Mg 24.30 Mg.upf
Cd 112.41 Cd.upf
ATOMIC_POSITIONS crystal
Ho 0.877 0.959 0.187
Ho 0.897 0.662 0.540
Ho 0.932 0.692 0.928
Ho 0.568 0.192 0.572
Ho 0.603 0.162 0.960
Ho 0.623 0.459 0.313
Ho 0.123 0.041 0.813
Ho 0.103 0.338 0.460
Ho 0.068 0.308 0.072
Ho 0.432 0.808 0.428
Ho 0.397 0.838 0.040
Ho 0.377 0.541 0.687
Mg 0.500 0.500 0.000
Mg 0.000 0.000 0.500
Cd 0.881 0.391 0.775
Cd 0.619 0.891 0.725
Cd 0.381 0.109 0.275
Cd 0.119 0.609 0.225
CELL_PARAMETERS angstrom
-4.926 -3.728 -1.061
3.970 -6.694 5.096
-5.380 2.165 7.035
```